# 1
## TbPm2Pr7 (PBE)

Data for a geometry-optimized TbPm2Pr7 structure.

The structure belongs to space group Cmmm (No. 65); the cell edges are 8.8862, 16.9351 and 5.5886 Å and the angles 90.00°, 90.00° and 90.00°. The distinct sites, in fractional coordinates, are Tb at (0.0000, 0.0000, 0.0000), Pm at (0.0000, 0.2956, 0.5000), Pr at (0.0000, 0.2186, 0.0000), Pr at (0.0000, 0.5000, 0.5000) and Pr at (0.1809, 0.1115, 0.5000).

The density of states at the Fermi level is 15.93 states/eV/f.u.



# 2
## TbPmPr2 (PBE)

Data for a geometry-optimized TbPmPr2 structure.

The structure belongs to space group Fm-3m (No. 225); the cell edges are 8.2223, 8.2223 and 8.2223 Å and the angles 90.00°, 90.00° and 90.00°. The distinct sites, in fractional coordinates, are Tb at (0.0000, 0.0000, 0.0000), Pm at (0.0000, 0.0000, 0.5000) and Pr at (0.2500, 0.2500, 0.2500).

The density of states at the Fermi level is 8.94 states/eV/f.u.



# 3
## Tb5PmPr2 (PBE)

Data for a geometry-optimized Tb5PmPr2 structure.

The structure belongs to space group C2/c (No. 15); the cell edges are 16.4330, 10.0155 and 6.5788 Å and the angles 90.00°, 98.39° and 90.00°. The distinct sites, in fractional coordinates, are Tb at (0.0000, 0.0592, 0.2500), Tb at (0.0991, 0.4128, 0.1453), Tb at (0.1979, 0.0895, 0.0250), Pm at (0.2500, 0.2500, 0.5000) and Pr at (0.0781, 0.2529, 0.6153).

The density of states at the Fermi level is 12.02 states/eV/f.u.



Number 1: E_form 0.611 eV per atom, energy relative to the lowest polymorph listed for this composition 254 meV/atom. Number 2: E_form 0.124 eV per atom, energy relative to the lowest polymorph listed for this composition 112 meV/atom. Number 3: E_form 0.165 eV per atom, energy relative to the lowest polymorph listed for this composition 148 meV/atom.